# 1
! PBE-GGA SmAgOs, relaxed; values from VASP
&SYSTEM
  ibrav = 0, nat = 3, ntyp = 3
/
ATOMIC_SPECIES
Sm 150.36 Sm.upf
Ag 107.87 Ag.upf
Os 190.23 Os.upf
CELL_PARAMETERS angstrom
0.000 3.277 3.277
3.277 0.000 3.277
3.277 3.277 0.000
ATOMIC_POSITIONS angstrom
Sm 0.000 0.000 0.000
Ag 3.277 3.277 3.277
Os 4.915 4.915 4.915
! Space-group type: F-43m
! Crystal system: cubic
! Distance to the lowest polymorph of the same formula in eV per atom: 0.000
! Energy relative to the elements in eV/f.u.: 1.8



# 2
! PBE-GGA NaOsAu, relaxed; values from VASP
&SYSTEM
  ibrav = 0, nat = 3, ntyp = 3
/
ATOMIC_SPECIES
Na 22.99 Na.upf
Os 190.23 Os.upf
Au 196.97 Au.upf
CELL_PARAMETERS angstrom
0.000 3.109 3.109
3.109 0.000 3.109
3.109 3.109 0.000
ATOMIC_POSITIONS angstrom
Na 0.000 0.000 0.000
Os 1.555 1.555 1.555
Au 4.664 4.664 4.664
! VASP energy in eV per cell: -10.57
! Space-group type: F-43m
! Crystal system: cubic



# 3
! PBE-GGA BaLiFeRe, relaxed; values from VASP
&SYSTEM
  ibrav = 0, nat = 4, ntyp = 4
/
ATOMIC_SPECIES
Ba 137.33 Ba.upf
Li 6.94 Li.upf
Fe 55.84 Fe.upf
Re 186.21 Re.upf
CELL_PARAMETERS angstrom
0.000 3.381 3.381
3.381 0.000 3.381
3.381 3.381 0.000
ATOMIC_POSITIONS angstrom
Ba 0.000 0.000 0.000
Li 5.071 5.071 5.071
Fe 3.381 3.381 3.381
Re 1.690 1.690 1.690
! Space-group type: F-43m
! Crystal system: cubic
! Distance to the lowest polymorph of the same formula in eV per atom: 0.008